No. 1
The following is a DFT calculation (PBE-GGA) of a geometry-optimized Pr5HoSn4 structure.

Uncorrected energy: -4.9987 eV/atom
Energy of formation from the pure elements: -5.50 eV per formula unit
V: 33.28 Å³/atom

Lattice parameters (Å, degrees): 16.7189 5.4470 7.3096 90.00 90.89 90.00
Space group C2/m (No. 12)
Unique sites:
Pr: 0.0000 0.0000 0.0000
Pr: 0.1655 0.5000 0.9985
Pr: 0.1674 0.5000 0.5069
Ho: 0.0000 0.0000 0.5000
Sn: 0.0076 0.5000 0.2598
Sn: 0.1726 0.0000 0.7483

---

No. 2
The following is a DFT calculation (PBE-GGA) of a geometry-optimized La3Sm2Y6Pu structure.

Uncorrected energy: -6.4008 eV/atom
Energy of formation from the pure elements: 0.53 eV per formula unit
V: 33.10 Å³/atom

Lattice parameters (Å, degrees): 6.2662 10.8609 11.8584 90.00 100.17 90.00
Space group C2/m (No. 12)
Unique sites:
La: 0.0000 0.0000 0.0000
La: 0.0000 0.3326 0.0000
Sm: 0.0000 0.1666 0.5000
Y: 0.2455 0.3355 0.7442
Y: 0.2480 0.5000 0.2556
Pu: 0.0000 0.5000 0.5000

---

No. 3
The following is a DFT calculation (PBE-GGA) of a geometry-optimized CrSb2Cl structure.

Uncorrected energy: -4.2363 eV/atom
Formation energy without anion corrections: 0.69 eV/atom
V: 20.53 Å³/atom
Energy relative to the lowest polymorph listed for this composition: 3.19 eV per formula unit

Lattice parameters (Å, degrees): 6.8996 6.8996 6.8996 90.00 90.00 90.00
Space group Fm-3m (No. 225)
Unique sites:
Cr: 0.0000 0.0000 0.0000
Sb: 0.2500 0.2500 0.2500
Cl: 0.0000 0.0000 0.5000

---

No. 4
The following is a DFT calculation (PBE-GGA) of a geometry-optimized Mg2Ag4Hg3 structure.

Uncorrected energy: -1.8155 eV/atom
Energy of formation from the pure elements: -0.84 eV per formula unit
V: 19.53 Å³/atom

Lattice parameters (Å, degrees): 9.5670 4.2655 9.0429 90.00 107.67 90.00
Space group C2/m (No. 12)
Unique sites:
Mg: 0.1645 0.0000 0.2171
Ag: 0.0018 0.5000 0.6717
Ag: 0.1669 0.0000 0.8914
Hg: 0.0000 0.5000 0.0000
Hg: 0.1691 0.0000 0.5647

---

No. 5
The following is a DFT calculation (PBE-GGA) of a geometry-optimized Ac2NdSm7 structure.

Uncorrected energy: -4.1577 eV/atom
Energy of formation from the pure elements: 4.44 eV per formula unit
V: 38.96 Å³/atom

Lattice parameters (Å, degrees): 12.2802 17.5551 3.6145 90.00 90.00 90.00
Space group Cmmm (No. 65)
Unique sites:
Ac: 0.0000 0.1776 0.0000
Nd: 0.0000 0.0000 0.5000
Sm: 0.0000 0.3398 0.5000
Sm: 0.0000 0.5000 0.0000
Sm: 0.2388 0.3828 0.0000

---

No. 6
The following is a DFT calculation (PBE-GGA) of a geometry-optimized YRe2Pt structure.

Uncorrected energy: -9.0588 eV/atom
Energy of formation from the pure elements: 1.17 eV per formula unit
V: 18.01 Å³/atom
Energy relative to the lowest polymorph listed for this composition: 1.70 eV per formula unit

Lattice parameters (Å, degrees): 2.7354 4.2325 6.2237 90.00 90.00 90.00
Space group Pmmm (No. 47)
Unique sites:
Y: 0.0000 0.0000 0.0000
Re: 0.5000 0.5000 0.2976
Pt: 0.0000 0.0000 0.5000

---

No. 7
The following is a DFT calculation (PBE-GGA) of a geometry-optimized VBiS2 structure.

Uncorrected energy: -5.9745 eV/atom
Formation energy without anion corrections: -0.66 eV/atom
V: 20.64 Å³/atom

Lattice parameters (Å, degrees): 3.3151 5.8677 8.6600 78.99 87.00 89.76
Space group P-1 (No. 2)
Unique sites:
V: 0.2500 0.1977 0.4950
Bi: 0.3083 0.7390 0.0388
S: 0.2273 0.8623 0.6839
S: 0.2723 0.6210 0.3609

---

No. 8
The following is a DFT calculation (PBE-GGA) of a geometry-optimized RbSc2Ag structure.

Uncorrected energy: -3.3404 eV/atom
Energy of formation from the pure elements: 3.12 eV per formula unit
V: 42.27 Å³/atom

Lattice parameters (Å, degrees): 6.0063 6.0063 18.7475 90.00 90.00 90.00
Space group I4_1/amd (No. 141, origin choice 2)
Unique sites:
Rb: 0.0000 0.2500 0.3750
Sc: 0.0000 0.0000 0.0000
Ag: 0.0000 0.2500 0.8750

---

No. 9
The following is a DFT calculation (PBE-GGA) of a geometry-optimized CrCdPb2 structure.

Uncorrected energy: -4.0478 eV/atom
Energy of formation from the pure elements: 1.76 eV per formula unit
V: 26.10 Å³/atom

Lattice parameters (Å, degrees): 7.4744 7.4744 7.4744 90.00 90.00 90.00
Space group F-43m (No. 216)
Unique sites:
Cr: 0.0000 0.0000 0.0000
Cd: 0.2500 0.2500 0.2500
Pb: 0.0000 0.0000 0.5000
Pb: 0.2500 0.2500 0.7500

---

No. 10
The following is a DFT calculation (PBE-GGA) of a geometry-optimized Ba6TeSe3Br2 structure.

Uncorrected energy: -4.2554 eV/atom
Formation energy without anion corrections: -1.88 eV/atom
V: 38.33 Å³/atom

Lattice parameters (Å, degrees): 8.2225 14.2255 8.3272 90.00 109.18 90.00
Space group C2/m (No. 12)
Unique sites:
Ba: 0.2410 0.0000 0.2301
Ba: 0.2446 0.3345 0.2303
Te: 0.0000 0.0000 0.5000
Se: 0.0000 0.1667 0.0000
Se: 0.0000 0.5000 0.0000
Br: 0.0000 0.3335 0.5000

---

No. 11
The following is a DFT calculation (PBE-GGA) of a geometry-optimized TmThBe17 structure.

Uncorrected energy: -4.0660 eV/atom
Energy of formation from the pure elements: -2.02 eV per formula unit
V: 10.54 Å³/atom

Lattice parameters (Å, degrees): 7.8007 7.8007 11.4036 90.00 90.00 120.00
Space group R3m (No. 160, hexagonal axes)
Unique sites:
Tm: 0.0000 0.0000 0.0000
Th: 0.0000 0.0000 0.3212
Be: 0.0000 0.0000 0.5687
Be: 0.0000 0.0000 0.7571
Be: 0.0018 0.2758 0.6621
Be: 0.0078 0.5039 0.4977
Be: 0.1677 0.3354 0.4961
Be: 0.1684 0.3367 0.1564

---

No. 12
The following is a DFT calculation (PBE-GGA) of a geometry-optimized NbNiGe structure.

Uncorrected energy: -7.2223 eV/atom
Energy of formation from the pure elements: -1.20 eV per formula unit
V: 14.18 Å³/atom

Lattice parameters (Å, degrees): 4.8664 5.1154 6.8343 90.00 90.00 90.00
Space group Imma (No. 74)
Unique sites:
Nb: 0.0000 0.2500 0.1284
Ni: 0.2500 0.2500 0.7500
Ge: 0.0000 0.0000 0.5000